Record 1
This record from Alexandria via LeMat-Bulk describes an optimized crystal structure of HfCoTe2. The functional is PBE. Values from VASP.

## Properties
- space group = No. 122
- uncorrected formation energy (meV/atom) = 10

Quantum ESPRESSO input file:
```
&SYSTEM
  ibrav = 0, nat = 8, ntyp = 3
/
ATOMIC_SPECIES
Te 127.60 Te.upf
Co 58.93 Co.upf
Hf 178.49 Hf.upf
ATOMIC_POSITIONS crystal
Te 0.5860 0.1250 0.2500
Co 0.5000 0.5000 0.0000
Hf 0.0000 0.0000 0.0000
Hf 0.7500 0.2500 0.5000
Te 0.3750 0.4140 0.7500
Co 0.2500 0.7500 0.5000
Te 0.1640 0.6250 0.2500
Te 0.8750 0.8360 0.7500
CELL_PARAMETERS angstrom
-1.4984 0.8494 -5.9324
-4.6213 -4.0571 0.5864
-6.7472 2.8223 -1.1079
```



Record 2
This record from Alexandria via LeMat-Bulk describes an optimized crystal structure of Hf8CoTe2. The functional is PBE. Values from VASP.

## Properties
- space group = No. 12
- uncorrected formation energy (meV/atom) = 82

Quantum ESPRESSO input file:
```
&SYSTEM
  ibrav = 0, nat = 11, ntyp = 3
/
ATOMIC_SPECIES
Hf 178.49 Hf.upf
Te 127.60 Te.upf
Co 58.93 Co.upf
ATOMIC_POSITIONS crystal
Hf 0.8750 0.4054 0.8932
Hf 0.8750 0.8932 0.4054
Te 0.4008 0.8307 0.8307
Hf 0.1646 0.5894 0.5894
Te 0.5992 0.1693 0.1693
Hf 0.8354 0.4106 0.4106
Hf 0.7393 0.8996 0.8996
Hf 0.1250 0.5946 0.1068
Hf 0.1250 0.1068 0.5946
Co 0.0000 0.0000 0.0000
Hf 0.2607 0.1004 0.1004
CELL_PARAMETERS angstrom
-5.2124 -1.0557 -6.9370
5.1440 -0.1936 -3.3455
2.8408 -5.3795 -0.8257
```



Record 3
This record from Alexandria via LeMat-Bulk describes an optimized crystal structure of HfCoTe3. The functional is PBE. Values from VASP.

## Properties
- space group = No. 221
- uncorrected formation energy (meV/atom) = 384
- E above lowest polymorph (meV/atom) = 780

Quantum ESPRESSO input file:
```
&SYSTEM
  ibrav = 0, nat = 5, ntyp = 3
/
ATOMIC_SPECIES
Te 127.60 Te.upf
Hf 178.49 Hf.upf
Co 58.93 Co.upf
ATOMIC_POSITIONS crystal
Te 0.5000 0.0000 0.0000
Te 0.0000 0.5000 0.0000
Hf 0.5000 0.5000 0.5000
Co 0.0000 0.0000 0.0000
Te 0.0000 0.0000 0.5000
CELL_PARAMETERS angstrom
4.9668 0.0000 0.0000
0.0000 4.9668 0.0000
0.0000 0.0000 4.9668
```



Record 4
This record from Alexandria via LeMat-Bulk describes an optimized crystal structure of YHf2CoTe. The functional is PBE. Values from VASP.

## Properties
- space group = No. 123
- uncorrected formation energy (meV/atom) = 1396

Quantum ESPRESSO input file:
```
&SYSTEM
  ibrav = 0, nat = 5, ntyp = 4
/
ATOMIC_SPECIES
Te 127.60 Te.upf
Y 88.91 Y.upf
Co 58.93 Co.upf
Hf 178.49 Hf.upf
ATOMIC_POSITIONS crystal
Te 0.5000 0.5000 0.5000
Y 0.0000 0.0000 0.0000
Co 0.0000 0.5000 0.0000
Hf 0.0000 0.0000 0.5000
Hf 0.5000 0.0000 0.0000
CELL_PARAMETERS angstrom
-4.2883 3.2386 -0.2564
-1.2718 -1.9780 -3.7137
-2.8515 -3.5488 2.8667
```



Record 5
This record from Alexandria via LeMat-Bulk describes an optimized crystal structure of Hf2ThCo9. The functional is PBE. Values from VASP.

## Properties
- space group = No. 166
- E_form (meV per atom) = -284

Quantum ESPRESSO input file:
```
&SYSTEM
  ibrav = 0, nat = 12, ntyp = 3
/
ATOMIC_SPECIES
Co 58.93 Co.upf
Hf 178.49 Hf.upf
Th 232.04 Th.upf
ATOMIC_POSITIONS crystal
Co 0.4109 0.4109 0.2577
Co 0.5891 0.5891 0.7423
Co 0.3357 0.3357 0.9930
Co 0.6643 0.6643 0.0070
Co 0.4109 0.9206 0.2577
Co 0.0794 0.5891 0.7423
Hf 0.1410 0.1410 0.5771
Co 0.5891 0.0794 0.7423
Co 0.5000 0.5000 0.5000
Hf 0.8590 0.8590 0.4229
Co 0.9206 0.4109 0.2577
Th 0.0000 0.0000 0.0000
CELL_PARAMETERS angstrom
4.6872 0.0000 1.3950
2.1360 4.1722 1.3950
0.0318 0.0194 8.4652
```



Record 6
This record from Alexandria via LeMat-Bulk describes an optimized crystal structure of HfThCo4. The functional is PBE. Values from VASP.

## Properties
- space group = No. 216
- E_form (meV per atom) = -212

Quantum ESPRESSO input file:
```
&SYSTEM
  ibrav = 0, nat = 6, ntyp = 3
/
ATOMIC_SPECIES
Co 58.93 Co.upf
Hf 178.49 Hf.upf
Th 232.04 Th.upf
ATOMIC_POSITIONS crystal
Co 0.6262 0.6262 0.6262
Co 0.6262 0.6262 0.1215
Co 0.6262 0.1215 0.6262
Hf 0.0000 0.0000 0.0000
Co 0.1215 0.6262 0.6262
Th 0.2500 0.2500 0.2500
CELL_PARAMETERS angstrom
-2.5896 3.7304 -2.0693
-1.7978 -0.4787 -4.6306
-4.9131 -0.4787 -0.7321
```



Record 7
This record from Alexandria via LeMat-Bulk describes an optimized crystal structure of HfTh2Co9. The functional is PBE. Values from VASP.

## Properties
- space group = No. 166
- E_form (meV per atom) = -170

Quantum ESPRESSO input file:
```
&SYSTEM
  ibrav = 0, nat = 12, ntyp = 3
/
ATOMIC_SPECIES
Co 58.93 Co.upf
Hf 178.49 Hf.upf
Th 232.04 Th.upf
ATOMIC_POSITIONS crystal
Co 0.3328 0.3328 0.0017
Hf 0.0000 0.0000 0.0000
Co 0.5760 0.0793 0.7686
Co 0.4240 0.9207 0.2314
Co 0.9207 0.4240 0.2314
Co 0.5760 0.5760 0.7686
Co 0.0793 0.5760 0.7686
Co 0.4240 0.4240 0.2314
Co 0.6672 0.6672 0.9983
Th 0.1357 0.1357 0.5930
Co 0.5000 0.5000 0.5000
Th 0.8643 0.8643 0.4070
CELL_PARAMETERS angstrom
-3.7613 -1.9904 2.3616
0.7941 -3.1113 3.6572
-0.9610 4.7275 7.4687
```



Record 8
This record from Alexandria via LeMat-Bulk describes an optimized crystal structure of HfThCo. The functional is PBE. Values from VASP.

## Properties
- space group = No. 107
- E above lowest polymorph (meV/atom) = 158
- E_form (meV per atom) = -73

Quantum ESPRESSO input file:
```
&SYSTEM
  ibrav = 0, nat = 3, ntyp = 3
/
ATOMIC_SPECIES
Th 232.04 Th.upf
Co 58.93 Co.upf
Hf 178.49 Hf.upf
ATOMIC_POSITIONS crystal
Th 0.0153 0.0153 0.0306
Co 0.6913 0.6913 0.3827
Hf 0.2934 0.2934 0.5868
CELL_PARAMETERS angstrom
-3.1955 -0.7473 -0.2180
0.5986 -1.7704 -2.7064
2.1940 -3.5452 4.8029
```



Record 9
This record from Alexandria via LeMat-Bulk describes an optimized crystal structure of HfThCo. The functional is PBE. Values from VASP.

## Properties
- space group = No. 64
- E above lowest polymorph (meV/atom) = 0
- E_form (meV per atom) = -231

Quantum ESPRESSO input file:
```
&SYSTEM
  ibrav = 0, nat = 12, ntyp = 3
/
ATOMIC_SPECIES
Th 232.04 Th.upf
Hf 178.49 Hf.upf
Co 58.93 Co.upf
ATOMIC_POSITIONS crystal
Th 0.3072 0.6144 0.1016
Hf 0.2179 0.9359 0.7500
Co 0.6027 0.2055 0.5482
Co 0.3973 0.7945 0.4518
Hf 0.7179 0.9359 0.7500
Co 0.8973 0.7945 0.0482
Th 0.1928 0.3856 0.6016
Th 0.6928 0.3856 0.8984
Th 0.8072 0.6144 0.3984
Hf 0.7821 0.0641 0.2500
Co 0.1027 0.2055 0.9518
Hf 0.2821 0.0641 0.2500
CELL_PARAMETERS angstrom
-5.8983 -0.9549 -2.2391
5.3080 -0.5103 -4.6729
0.5369 -6.3807 1.3067
```



Record 10
This record from Alexandria via LeMat-Bulk describes an optimized crystal structure of Hf5ThCo2. The functional is PBE. Values from VASP.

## Properties
- space group = No. 71
- E_form (meV per atom) = -114

Quantum ESPRESSO input file:
```
&SYSTEM
  ibrav = 0, nat = 8, ntyp = 3
/
ATOMIC_SPECIES
Co 58.93 Co.upf
Hf 178.49 Hf.upf
Th 232.04 Th.upf
ATOMIC_POSITIONS crystal
Co 0.2305 0.2695 0.2695
Hf 0.6510 0.5567 0.1413
Hf 0.6510 0.1413 0.5567
Co 0.7695 0.7305 0.7305
Th 0.0000 0.0000 0.0000
Hf 0.0000 0.5000 0.5000
Hf 0.3490 0.8587 0.4433
Hf 0.3490 0.4433 0.8587
CELL_PARAMETERS angstrom
-2.9457 2.5316 2.0272
-5.7053 0.1837 -3.7855
-5.1816 -3.9418 2.1278
```



Record 11
This record from Alexandria via LeMat-Bulk describes an optimized crystal structure of HfTi2Co2. The functional is PBE. Values from VASP.

## Properties
- space group = No. 127
- E above lowest polymorph (meV/atom) = 13
- E_form (meV per atom) = -238

Quantum ESPRESSO input file:
```
&SYSTEM
  ibrav = 0, nat = 10, ntyp = 3
/
ATOMIC_SPECIES
Hf 178.49 Hf.upf
Co 58.93 Co.upf
Ti 47.87 Ti.upf
ATOMIC_POSITIONS crystal
Hf 0.5000 0.5000 0.0000
Co 0.6303 0.1303 0.0000
Ti 0.8421 0.3421 0.5000
Ti 0.6579 0.8421 0.5000
Co 0.1303 0.3697 0.0000
Hf 0.0000 0.0000 0.0000
Co 0.3697 0.8697 0.0000
Co 0.8697 0.6303 0.0000
Ti 0.3421 0.1579 0.5000
Ti 0.1579 0.6579 0.5000
CELL_PARAMETERS angstrom
-3.6191 -1.0564 5.9893
-3.3803 -5.4445 -3.0029
2.1450 -1.8652 0.9672
```



Record 12
This record from Alexandria via LeMat-Bulk describes an optimized crystal structure of HfTi2Co2. The functional is PBE. Values from VASP.

## Properties
- space group = No. 15
- E above lowest polymorph (meV/atom) = 318
- E_form (meV per atom) = 67

Quantum ESPRESSO input file:
```
&SYSTEM
  ibrav = 0, nat = 10, ntyp = 3
/
ATOMIC_SPECIES
Co 58.93 Co.upf
Ti 47.87 Ti.upf
Hf 178.49 Hf.upf
ATOMIC_POSITIONS crystal
Co 0.1572 0.3428 0.7500
Co 0.5931 0.9069 0.7500
Ti 0.7835 0.0341 0.5667
Ti 0.2165 0.9659 0.4333
Hf 0.8749 0.6251 0.7500
Ti 0.5341 0.2835 0.0667
Co 0.4069 0.0931 0.2500
Hf 0.1251 0.3749 0.2500
Co 0.8428 0.6572 0.2500
Ti 0.4659 0.7165 0.9333
CELL_PARAMETERS angstrom
-1.9205 -1.7006 5.5647
-5.3230 -1.1563 -2.8062
4.9634 -2.8022 -2.1996
```



Record 13
This record from Alexandria via LeMat-Bulk describes an optimized crystal structure of Hf3TiCo3. The functional is PBE. Values from VASP.

## Properties
- space group = No. 12
- E_form (meV per atom) = -276

Quantum ESPRESSO input file:
```
&SYSTEM
  ibrav = 0, nat = 14, ntyp = 3
/
ATOMIC_SPECIES
Co 58.93 Co.upf
Hf 178.49 Hf.upf
Ti 47.87 Ti.upf
ATOMIC_POSITIONS crystal
Co 0.7498 0.2502 0.0000
Hf 0.4355 0.0356 0.2493
Ti 0.4777 0.4776 0.7735
Co 0.7421 0.2578 0.5000
Hf 0.5645 0.9644 0.7507
Hf 0.9354 0.9354 0.2642
Hf 0.9645 0.5645 0.7507
Co 0.2502 0.7498 0.0000
Hf 0.0646 0.0646 0.7358
Co 0.3106 0.3106 0.5405
Hf 0.0355 0.4355 0.2493
Co 0.6894 0.6894 0.4595
Co 0.2579 0.7422 0.5000
Ti 0.5223 0.5224 0.2265
CELL_PARAMETERS angstrom
-5.5964 -0.5493 2.9335
-1.5834 -5.5799 -2.5663
2.1138 -3.1453 4.4193
```



Record 14
This record from Alexandria via LeMat-Bulk describes an optimized crystal structure of HfTi7Co2. The functional is PBE. Values from VASP.

## Properties
- space group = No. 65
- E_form (meV per atom) = 342

Quantum ESPRESSO input file:
```
&SYSTEM
  ibrav = 0, nat = 10, ntyp = 3
/
ATOMIC_SPECIES
Co 58.93 Co.upf
Hf 178.49 Hf.upf
Ti 47.87 Ti.upf
ATOMIC_POSITIONS crystal
Co 0.5000 0.6949 0.3051
Co 0.5000 0.3051 0.6949
Hf 0.0000 0.0000 0.0000
Ti 0.5000 0.5000 0.5000
Ti 0.5000 0.0559 0.3129
Ti 0.5000 0.9441 0.6871
Ti 0.5000 0.6871 0.9441
Ti 0.5000 0.3129 0.0559
Ti 0.0000 0.7272 0.2728
Ti 0.0000 0.2728 0.7272
CELL_PARAMETERS angstrom
-1.2283 -1.3287 3.9756
-4.8700 -4.2239 -2.9163
6.5074 -2.5202 1.1683
```



Record 15
This record from Alexandria via LeMat-Bulk describes an optimized crystal structure of Hf2TiCo2. The functional is PBE. Values from VASP.

## Properties
- space group = No. 63
- E above lowest polymorph (meV/atom) = 97
- E_form (meV per atom) = -175

Quantum ESPRESSO input file:
```
&SYSTEM
  ibrav = 0, nat = 10, ntyp = 3
/
ATOMIC_SPECIES
Co 58.93 Co.upf
Ti 47.87 Ti.upf
Hf 178.49 Hf.upf
ATOMIC_POSITIONS crystal
Co 0.7500 0.8777 0.2580
Co 0.2500 0.1223 0.7420
Co 0.7500 0.3803 0.2580
Ti 0.5000 0.0000 0.0000
Hf 0.7500 0.7865 0.5730
Hf 0.2500 0.5826 0.1652
Hf 0.2500 0.2135 0.4270
Ti 0.0000 0.0000 0.0000
Hf 0.7500 0.4174 0.8348
Co 0.2500 0.6197 0.7420
CELL_PARAMETERS angstrom
-2.9212 3.4785 -1.3311
-3.0383 -3.5386 -2.5795
-2.0163 0.8673 6.6913
```



Record 16
This record from Alexandria via LeMat-Bulk describes an optimized crystal structure of HfTiCo4. The functional is PBE. Values from VASP.

## Properties
- space group = No. 216
- E_form (meV per atom) = -339

Quantum ESPRESSO input file:
```
&SYSTEM
  ibrav = 0, nat = 6, ntyp = 3
/
ATOMIC_SPECIES
Ti 47.87 Ti.upf
Hf 178.49 Hf.upf
Co 58.93 Co.upf
ATOMIC_POSITIONS crystal
Ti 0.0000 0.0000 0.0000
Hf 0.2500 0.2500 0.2500
Co 0.6252 0.6252 0.6252
Co 0.6252 0.1244 0.6252
Co 0.1244 0.6252 0.6252
Co 0.6252 0.6252 0.1244
CELL_PARAMETERS angstrom
4.7870 0.0000 0.0000
2.3935 4.1457 0.0000
2.3935 1.3819 3.9086
```



Record 17
This record from Alexandria via LeMat-Bulk describes an optimized crystal structure of Hf2TiCo. The functional is PBE. Values from VASP.

## Properties
- space group = No. 44
- E_form (meV per atom) = -144

Quantum ESPRESSO input file:
```
&SYSTEM
  ibrav = 0, nat = 4, ntyp = 3
/
ATOMIC_SPECIES
Hf 178.49 Hf.upf
Ti 47.87 Ti.upf
Co 58.93 Co.upf
ATOMIC_POSITIONS crystal
Hf 0.0479 0.8960 0.0084
Ti 0.2500 0.2313 0.2687
Hf 0.4521 0.4916 0.6040
Co 0.7500 0.8810 0.6190
CELL_PARAMETERS angstrom
-3.0023 0.8828 -0.2569
-1.4062 -0.7190 -5.2294
-2.7523 -4.3245 -1.8879
```



Record 18
This record from Alexandria via LeMat-Bulk describes an optimized crystal structure of Hf2TiCo. The functional is PBE. Values from VASP.

## Properties
- space group = No. 160
- E_form (meV per atom) = 46

Quantum ESPRESSO input file:
```
&SYSTEM
  ibrav = 0, nat = 4, ntyp = 3
/
ATOMIC_SPECIES
Hf 178.49 Hf.upf
Ti 47.87 Ti.upf
Co 58.93 Co.upf
ATOMIC_POSITIONS crystal
Hf 0.2600 0.2600 0.2201
Ti 0.4997 0.4997 0.5009
Hf 0.0739 0.0739 0.7783
Co 0.6665 0.6665 0.0006
CELL_PARAMETERS angstrom
3.1366 0.0000 0.0000
1.5683 2.7164 0.0000
1.5683 0.9055 8.5886
```



Record 19
This record from Alexandria via LeMat-Bulk describes an optimized crystal structure of Hf2TiCo3. The functional is PBE. Values from VASP.

## Properties
- space group = No. 71
- E above lowest polymorph (meV/atom) = 323
- E_form (meV per atom) = -48

Quantum ESPRESSO input file:
```
&SYSTEM
  ibrav = 0, nat = 6, ntyp = 3
/
ATOMIC_SPECIES
Hf 178.49 Hf.upf
Co 58.93 Co.upf
Ti 47.87 Ti.upf
ATOMIC_POSITIONS crystal
Hf 0.3238 0.8238 0.6475
Co 0.6393 0.6393 0.2787
Hf 0.6762 0.1762 0.3525
Co 0.0000 0.0000 0.0000
Co 0.3607 0.3607 0.7213
Ti 0.0000 0.5000 0.0000
CELL_PARAMETERS angstrom
4.0665 0.0000 0.0000
0.0000 4.9368 0.0000
-2.0333 -2.4684 4.6972
```



Record 20
This record from Alexandria via LeMat-Bulk describes an optimized crystal structure of HfTiCo5. The functional is PBE. Values from VASP.

## Properties
- space group = No. 123
- E_form (meV per atom) = 76

Quantum ESPRESSO input file:
```
&SYSTEM
  ibrav = 0, nat = 7, ntyp = 3
/
ATOMIC_SPECIES
Co 58.93 Co.upf
Hf 178.49 Hf.upf
Ti 47.87 Ti.upf
ATOMIC_POSITIONS crystal
Co 0.5000 0.0000 0.2300
Hf 0.0000 0.0000 0.5000
Ti 0.5000 0.5000 0.0000
Co 0.5000 0.0000 0.7700
Co 0.0000 0.5000 0.7700
Co 0.5000 0.5000 0.5000
Co 0.0000 0.5000 0.2300
CELL_PARAMETERS angstrom
-1.2436 -2.8715 2.6292
1.8621 -2.8626 -2.2456
4.7568 0.7159 3.0319
```